This record from the Alexandria database describes a relaxed Ce2Pu3Au2 crystal. The functional is GGA-PBE.

a = 5.7174 Å, b = 5.7174 Å, c = 6.2103 Å
α = 93.05°, β = 93.05°, γ = 50.97°
Element x y z (fractional)
Ce (0.2059, 0.2059, 0.3105)
Ce (0.7941, 0.7941, 0.6895)
Pu (0.3954, 0.3954, 0.8439)
Pu (0.5000, 0.5000, 0.5000)
Pu (0.6046, 0.6046, 0.1561)
Au (0.0968, 0.0968, 0.8107)
Au (0.9032, 0.9032, 0.1893)

Calculated values
**Size of the total moment**: 5.90 Bohr magnetons per cell
**Crystal system**: monoclinic
**Formation energy from the elements**: -1.81 eV per formula unit